# 1
This record from Alexandria via LeMat-Bulk describes a geometry-optimized La2InP structure. The functional is PBE.

Geometry as POSCAR:
```
La2InP
1.0
5.6390 -0.0013 -0.0007
0.8868 5.5688 0.0007
-2.7988 -3.3277 3.5904
La P In
2 1 1
direct
0.5221 0.5221 0.0000
0.9779 0.9779 0.0000
0.7500 0.2500 0.5000
0.2500 0.7500 0.5000
```

The magnetization comes out at 0.0 Bohr magnetons per cell. The value obtained for the volume is 28.19 Å³ per atom. For the energy of formation, the calculation gives -0.65 eV per atom. As for the uncorrected energy: -5.1526 eV per atom.


# 2
This record from Alexandria via LeMat-Bulk describes a geometry-optimized LiGePtS2 structure. The functional is PBE.

Geometry as POSCAR:
```
LiGePtS2
1.0
4.7949 0.0000 0.0000
0.0000 4.3693 0.0000
0.0000 0.0000 4.7949
S Li Ge Pt
2 1 1 1
direct
0.5000 0.0000 0.0000
0.0000 0.0000 0.5000
0.0000 0.5000 0.0000
0.5000 0.5000 0.5000
0.0000 0.0000 0.0000
```

The uncorrected formation energy is 109 meV/atom. The magnetization comes out at 0.0 Bohr magnetons per cell. The value obtained for the volume is 20.09 Å³ per atom. As for the uncorrected energy: -4.0562 eV per atom.


# 3
This record from Alexandria via LeMat-Bulk describes a geometry-optimized RbBeV2Ga structure. The functional is PBE.

Geometry as POSCAR:
```
RbBeV2Ga
1.0
-1.1956 -2.8471 3.8829
3.8665 -3.4442 -1.3349
3.2116 2.5091 2.8287
V Ga Be Rb
2 1 1 1
direct
0.0000 0.0000 0.5000
0.5000 0.0000 0.0000
0.0000 0.5000 0.0000
0.5000 0.5000 0.5000
0.0000 0.0000 0.0000
```

The magnetization comes out at 6.3 Bohr magnetons per cell. The value obtained for the volume is 26.32 Å³ per atom. For the energy of formation, the calculation gives 2.69 eV per atom. As for the uncorrected energy: -2.4968 eV per atom.


# 4
This record from Alexandria via LeMat-Bulk describes a geometry-optimized FeRe2Pt structure. The functional is PBE.

Geometry as POSCAR:
```
FeRe2Pt
1.0
9.0299 0.0028 0.0016
8.6090 2.7249 0.0016
8.6090 1.3313 2.3776
Re Pt Fe
2 1 1
direct
0.9971 0.9971 0.9971
0.2494 0.2494 0.2494
0.7531 0.7531 0.7531
0.5005 0.5005 0.5005
```

The magnetization comes out at 2.9 Bohr magnetons per cell. The value obtained for the volume is 14.60 Å³ per atom. For the energy of formation, the calculation gives 0.01 eV per atom. As for the uncorrected energy: -9.8386 eV per atom.


# 5
This record from Alexandria via LeMat-Bulk describes a geometry-optimized MgAl2C2 structure. The functional is PBE.

Geometry as POSCAR:
```
MgAl2C2
1.0
-2.8734 1.4843 -1.0211
2.1454 -1.2938 -2.2857
-2.7558 -5.1203 0.3119
Mg C Al
1 2 2
direct
0.0000 0.0000 0.0000
0.3333 0.6667 0.2703
0.6667 0.3333 0.7297
0.3333 0.6667 0.6499
0.6667 0.3333 0.3501
```

The magnetization comes out at 0.0 Bohr magnetons per cell. The value obtained for the volume is 11.60 Å³ per atom. For the energy of formation, the calculation gives -0.07 eV per atom. As for the uncorrected energy: -5.5713 eV per atom.


# 6
This record from Alexandria via LeMat-Bulk describes a geometry-optimized Co2NiMo structure. The functional is PBE.

Geometry as POSCAR:
```
Co2NiMo
1.0
-1.9786 -0.0283 -1.6790
2.2943 -0.7708 -2.6907
-0.6624 -4.9903 0.8647
Co Mo Ni
2 1 1
direct
0.0000 0.0000 0.0050
0.5000 0.5000 0.2357
0.0000 0.0000 0.4962
0.5000 0.5000 0.7631
```

The magnetization comes out at 2.1 Bohr magnetons per cell. The value obtained for the volume is 11.99 Å³ per atom. For the energy of formation, the calculation gives 0.06 eV per atom. As for the uncorrected energy: -7.6464 eV per atom.


# 7
This record from Alexandria via LeMat-Bulk describes a geometry-optimized BaMgH3 structure. The functional is PBE.

Geometry as POSCAR:
```
BaMgH3
1.0
4.9220 0.0000 0.0000
0.0000 4.9220 0.0000
0.0000 0.0000 4.9220
H Ba Mg
3 1 1
direct
0.0000 0.5000 0.0000
0.5000 0.0000 0.0000
0.0000 0.0000 0.5000
0.0000 0.0000 0.0000
0.5000 0.5000 0.5000
```

The magnetization comes out at 0.0 Bohr magnetons per cell. The value obtained for the volume is 23.85 Å³ per atom. As for the uncorrected energy: -2.4000 eV per atom.


# 8
This record from Alexandria via LeMat-Bulk describes a geometry-optimized BaPtPbAu2 structure. The functional is PBE.

Geometry as POSCAR:
```
BaPtPbAu2
1.0
-2.1718 3.1522 -2.0963
-0.5024 -2.8060 -3.6988
-4.1430 -2.3536 5.2961
Au Pb Ba Pt
2 1 1 1
direct
0.0459 0.0459 0.0918
0.7043 0.2043 0.4086
0.1929 0.6929 0.3858
0.4348 0.4348 0.8696
0.8342 0.8342 0.6685
```

The magnetization comes out at 0.0 Bohr magnetons per cell. The value obtained for the volume is 25.95 Å³ per atom. For the energy of formation, the calculation gives -0.47 eV per atom. As for the uncorrected energy: -4.1117 eV per atom.


# 9
This record from Alexandria via LeMat-Bulk describes a geometry-optimized Sr2ZnCu2Pt5 structure. The functional is PBE.

Geometry as POSCAR:
```
Sr2ZnCu2Pt5
1.0
3.9348 0.0000 0.0000
0.0000 9.5743 0.0000
0.0000 0.0000 9.5743
Pt Sr Cu Zn
10 4 4 2
direct
0.5000 0.7952 0.9416
0.5000 0.9416 0.2048
0.5000 0.0584 0.7952
0.5000 0.7048 0.4416
0.5000 0.5584 0.7048
0.5000 0.5000 0.0000
0.5000 0.2952 0.5584
0.5000 0.2048 0.0584
0.5000 0.4416 0.2952
0.5000 0.0000 0.5000
0.0000 0.3204 0.8204
0.0000 0.6796 0.1796
0.0000 0.1796 0.3204
0.0000 0.8204 0.6796
0.0000 0.8803 0.3803
0.0000 0.1197 0.6197
0.0000 0.3803 0.1197
0.0000 0.6197 0.8803
0.0000 0.0000 0.0000
0.0000 0.5000 0.5000
```

The magnetization comes out at 0.0 Bohr magnetons per cell. The value obtained for the volume is 18.03 Å³ per atom. For the energy of formation, the calculation gives -0.50 eV per atom. As for the uncorrected energy: -4.8002 eV per atom.


# 10
This record from Alexandria via LeMat-Bulk describes a geometry-optimized Np4Sb2N structure. The functional is PBE.

Geometry as POSCAR:
```
Np4Sb2N
1.0
4.6343 0.0000 0.0000
0.0000 4.6343 0.0000
2.3172 2.3172 7.9285
Np N Sb
4 1 2
direct
0.8449 0.8449 0.3103
0.1551 0.1551 0.6897
0.0000 0.5000 0.0000
0.5000 0.0000 0.0000
0.0000 0.0000 0.0000
0.6429 0.6429 0.7142
0.3571 0.3571 0.2858
```

The uncorrected formation energy is -288 meV/atom. The magnetization comes out at 1.2 Bohr magnetons per cell. The value obtained for the volume is 24.33 Å³ per atom. As for the uncorrected energy: -10.0498 eV per atom.


# 11
This record from Alexandria via LeMat-Bulk describes a geometry-optimized Na2LaPCO7 structure. The functional is PBE.

Geometry as POSCAR:
```
Na2LaPCO7
1.0
-5.1979 -2.2272 -4.3922
1.3954 -4.9822 0.8750
-6.0943 -0.3336 7.3814
O Na P La C
14 4 2 2 2
direct
0.5747 0.1332 0.3553
0.0747 0.8668 0.6447
0.7500 0.2936 0.5673
0.4253 0.8668 0.6447
0.7500 0.9844 0.8372
0.2500 0.4381 0.1811
0.2500 0.0156 0.1628
0.2500 0.4346 0.6453
0.2500 0.2540 0.9663
0.2500 0.7064 0.4327
0.9253 0.1332 0.3553
0.7500 0.5654 0.3547
0.7500 0.5619 0.8189
0.7500 0.7460 0.0337
0.9905 0.7448 0.1944
0.0095 0.2552 0.8056
0.5095 0.7448 0.1944
0.4905 0.2552 0.8056
0.2500 0.7158 0.5974
0.7500 0.2842 0.4026
0.7500 0.7873 0.5968
0.2500 0.2127 0.4032
0.7500 0.7648 0.9021
0.2500 0.2352 0.0979
```

The uncorrected formation energy is -2357 meV/atom. The magnetization comes out at 0.0 Bohr magnetons per cell. The value obtained for the volume is 14.99 Å³ per atom. As for the uncorrected energy: -7.0990 eV per atom.


# 12
This record from Alexandria via LeMat-Bulk describes a geometry-optimized Tb8CeY2 structure. The functional is PBE.

Geometry as POSCAR:
```
Tb8CeY2
1.0
4.8644 0.0000 -1.2955
-0.5225 7.7031 -1.9621
-0.0946 -0.0772 9.4253
Y Tb Ce
2 8 1
direct
0.2283 0.6375 0.4565
0.7717 0.3625 0.5435
0.0446 0.7305 0.0893
0.5902 0.4538 0.1805
0.4098 0.5462 0.8195
0.1355 0.1795 0.2711
0.3198 0.0921 0.6397
0.8645 0.8205 0.7289
0.9554 0.2695 0.9107
0.6802 0.9079 0.3603
0.5000 0.0000 0.0000
```

The magnetization comes out at 1.0 Bohr magnetons per cell. The value obtained for the volume is 31.95 Å³ per atom. For the energy of formation, the calculation gives 0.04 eV per atom. As for the uncorrected energy: -5.0453 eV per atom.


# 13
This record from Alexandria via LeMat-Bulk describes a geometry-optimized Ca2LaCd2 structure. The functional is PBE.

Geometry as POSCAR:
```
Ca2LaCd2
1.0
-2.8925 -0.1211 -8.2113
2.4940 -8.3075 -0.7560
-3.7967 -1.2632 1.3560
Cd Ca La
4 4 2
direct
0.1283 0.3717 0.0000
0.8717 0.6283 0.0000
0.3717 0.8717 0.0000
0.6283 0.1283 0.0000
0.3327 0.1673 0.5000
0.1673 0.6673 0.5000
0.6673 0.8327 0.5000
0.8327 0.3327 0.5000
0.0000 0.0000 0.0000
0.5000 0.5000 0.0000
```

The magnetization comes out at 0.0 Bohr magnetons per cell. The value obtained for the volume is 32.03 Å³ per atom. For the energy of formation, the calculation gives -0.22 eV per atom. As for the uncorrected energy: -2.3749 eV per atom.


# 14
This record from Alexandria via LeMat-Bulk describes a geometry-optimized Ac3Os2N6 structure. The functional is PBE.

Geometry as POSCAR:
```
Ac3Os2N6
1.0
3.9630 0.0000 0.0000
0.0000 3.9630 0.0000
-1.9815 -1.9815 10.6040
Os N Ac
2 6 3
direct
0.5941 0.5941 0.1883
0.4059 0.4059 0.8117
0.4114 0.9114 0.8228
0.5886 0.0886 0.1772
0.0886 0.5886 0.1772
0.6960 0.6960 0.3920
0.3040 0.3040 0.6080
0.9114 0.4114 0.8228
0.8150 0.8150 0.6300
0.0000 0.0000 0.0000
0.1850 0.1850 0.3700
```

The uncorrected formation energy is -617 meV/atom. The magnetization comes out at 0.0 Bohr magnetons per cell. The value obtained for the volume is 15.14 Å³ per atom. As for the uncorrected energy: -8.3207 eV per atom.


# 15
This record from Alexandria via LeMat-Bulk describes a geometry-optimized NaTbTl2 structure. The functional is PBE.

Geometry as POSCAR:
```
NaTbTl2
1.0
3.6522 0.0000 0.0000
1.8261 3.1629 0.0000
1.8261 1.0543 10.2333
Na Tl Tb
1 2 1
direct
0.4998 0.4998 0.5006
0.2502 0.2502 0.2494
0.0832 0.0832 0.7503
0.6667 0.6667 0.9998
```

The magnetization comes out at 0.0 Bohr magnetons per cell. The value obtained for the volume is 29.55 Å³ per atom. For the energy of formation, the calculation gives -0.11 eV per atom. As for the uncorrected energy: -2.7800 eV per atom.


# 16
This record from Alexandria via LeMat-Bulk describes a geometry-optimized Nd2Re2C3 structure. The functional is PBE.

Geometry as POSCAR:
```
Nd2Re2C3
1.0
3.4202 0.0000 0.0000
0.0000 5.8401 -0.6271
-1.7101 -2.1125 5.6820
C Re Nd
3 2 2
direct
0.0000 0.0000 0.0000
0.7480 0.2756 0.4959
0.2520 0.7244 0.5041
0.1602 0.3185 0.3205
0.8398 0.6815 0.6795
0.6059 0.8106 0.2119
0.3941 0.1894 0.7881
```

The magnetization comes out at 0.0 Bohr magnetons per cell. The value obtained for the volume is 15.57 Å³ per atom. For the energy of formation, the calculation gives -0.20 eV per atom. As for the uncorrected energy: -9.0673 eV per atom.


# 17
This record from Alexandria via LeMat-Bulk describes a geometry-optimized LaTb6Nd3Sm2 structure. The functional is PBE.

Geometry as POSCAR:
```
LaTb6Nd3Sm2
1.0
-0.6791 -0.0338 -6.2461
-2.8155 -4.4016 3.4893
-8.3231 8.3269 1.9094
Nd Tb Sm La
3 6 2 1
direct
0.5000 0.5000 0.5000
0.1669 0.8331 0.5000
0.8331 0.1669 0.5000
0.0835 0.4177 0.2500
0.7492 0.7492 0.2501
0.9165 0.5823 0.7500
0.2508 0.2508 0.7499
0.4177 0.0835 0.2500
0.5823 0.9165 0.7500
0.3333 0.6667 0.0000
0.6667 0.3333 0.0000
0.0000 0.0000 0.0000
```

The magnetization comes out at 0.0 Bohr magnetons per cell. The value obtained for the volume is 33.46 Å³ per atom. For the energy of formation, the calculation gives 0.01 eV per atom. As for the uncorrected energy: -4.6912 eV per atom.


# 18
This record from Alexandria via LeMat-Bulk describes a geometry-optimized DyYNb structure. The functional is PBE.

Geometry as POSCAR:
```
DyYNb
1.0
-0.1458 3.3806 0.9636
-1.0543 0.8780 -3.2397
-12.5106 -1.5782 3.6435
Nb Y Dy
2 2 2
direct
0.5000 0.0000 0.0478
0.0000 0.5000 0.9522
0.0000 0.5000 0.2033
0.5000 0.0000 0.7967
0.0000 0.5000 0.5921
0.5000 0.0000 0.4079
```

The magnetization comes out at 0.0 Bohr magnetons per cell. The value obtained for the volume is 27.08 Å³ per atom. For the energy of formation, the calculation gives 0.10 eV per atom. As for the uncorrected energy: -6.9489 eV per atom.


# 19
This record from Alexandria via LeMat-Bulk describes a geometry-optimized Pu2In5Au structure. The functional is PBE.

Geometry as POSCAR:
```
Pu2In5Au
1.0
-1.1080 -1.4981 -4.2552
6.1201 1.0466 -1.9621
3.1906 -12.1775 3.4564
Au Pu In
2 4 10
direct
0.0000 0.5000 0.0000
0.0000 0.0000 0.5000
0.5000 0.2431 0.6224
0.5000 0.2569 0.1224
0.5000 0.7569 0.3776
0.5000 0.7431 0.8776
0.0000 0.0000 0.0000
0.5000 0.2544 0.3746
0.5000 0.7456 0.6254
0.5000 0.2456 0.8746
0.0000 0.4870 0.7552
0.0000 0.5130 0.2448
0.0000 0.0130 0.2552
0.5000 0.7544 0.1254
0.0000 0.9870 0.7448
0.0000 0.5000 0.5000
```

The magnetization comes out at 23.4 Bohr magnetons per cell. The value obtained for the volume is 24.68 Å³ per atom. For the energy of formation, the calculation gives -0.21 eV per atom. As for the uncorrected energy: -5.9151 eV per atom.


# 20
This record from Alexandria via LeMat-Bulk describes a geometry-optimized CaSbW2 structure. The functional is PBE.

Geometry as POSCAR:
```
CaSbW2
1.0
-2.7941 0.2125 4.5724
0.4508 -0.2237 5.3391
0.4001 5.1155 1.2170
Ca Sb W
1 1 2
direct
0.7500 0.7500 0.7500
0.2500 0.2500 0.2500
0.9883 0.9883 0.0822
0.5117 0.5117 0.4178
```

The uncorrected formation energy is 566 meV/atom. The magnetization comes out at 0.0 Bohr magnetons per cell. The value obtained for the volume is 22.09 Å³ per atom. As for the uncorrected energy: -7.4421 eV per atom.